Entry from Alexandria via LeMat-Bulk: an optimized crystal structure of LiZn4As (GGA-PBE).

Results
Energy of formation, eV/atom: 0.005
VASP energy, eV/atom: -1.938
Symmetry: F-43m (216)

```
LiZn4As
1.0
0.000 3.677 3.677
3.677 0.000 3.677
3.677 3.677 0.000
Li Zn As
1 4 1
Cartesian
0.000 0.000 0.000 Li
4.599 2.756 2.756 Zn
2.756 4.599 2.756 Zn
2.756 2.756 4.599 Zn
4.599 4.599 4.599 Zn
1.839 1.839 1.839 As
```